Entry from Alexandria via LeMat-Bulk: a geometry-optimized NiMo2Ir structure (PBE).

The structure in extended XYZ format:
```
4
Lattice="-1.498 2.193 -3.994 0.211 0.081 -4.791 -3.612 -2.517 -1.079" Properties=species:S:1:pos:R:3 pbc="T T T"
Mo -3.609 -2.512 -1.086
Mo -2.453 -0.127 -4.925
Ir -1.225 -0.061 -2.466
Ni -3.674 -0.183 -7.397
```

Results
The space group is C2/m, No. 12. As for the electronic total energy: -9.045 eV per atom. The calculation puts the calculated formation energy at 0.0308 eV/atom.